No. 1
# Ho4ErTh3 (GGA-PBE, optimized geometry)
data_Ho4ErTh3
_chemical_formula_sum 'Ho8 Er2 Th6'
_cell_length_a 5.0123
_cell_length_b 10.0457
_cell_length_c 10.0435
_cell_angle_alpha 90.00
_cell_angle_beta 90.00
_cell_angle_gamma 90.00
_symmetry_space_group_name_H-M 'P m m n'
_symmetry_Int_Tables_number 59
loop_
_symmetry_equiv_pos_as_xyz
'x,y,z'
'-x,-y,-z'
'-x+1/2,-y+1/2,z'
'x+1/2,y+1/2,-z'
'x+1/2,-y,-z'
'-x+1/2,y,z'
'-x,y+1/2,-z'
'x,-y+1/2,z'
loop_
_atom_site_label
_atom_site_type_symbol
_atom_site_fract_x
_atom_site_fract_y
_atom_site_fract_z
_atom_site_occupancy
Ho1 Ho 0.2500 0.0008 0.1264 1
Ho2 Ho 0.2500 0.2500 0.8745 1
Ho3 Ho 0.2500 0.7500 0.8710 1
Er1 Er 0.2500 0.7500 0.3761 1
Th1 Th 0.2500 0.2500 0.3753 1
Th2 Th 0.2500 0.5021 0.6235 1
# E ... -5.61 eV per atom
# Energy above the lowest structure with this stoichiometry ... 0 meV per atom
# Energy of formation ... 0.03 eV per atom
# Density of states at the Fermi level ... 11.24 states/eV/f.u.


No. 2
# CdMo3 (GGA-PBE, optimized geometry)
data_CdMo3
_chemical_formula_sum 'Cd2 Mo6'
_cell_length_a 5.6968
_cell_length_b 8.7531
_cell_length_c 2.6881
_cell_angle_alpha 90.00
_cell_angle_beta 90.00
_cell_angle_gamma 90.00
_symmetry_space_group_name_H-M 'C m m m'
_symmetry_Int_Tables_number 65
_symmetry_space_group_name_Hall '-C 2 2'
loop_
_atom_site_label
_atom_site_type_symbol
_atom_site_fract_x
_atom_site_fract_y
_atom_site_fract_z
_atom_site_occupancy
Cd1 Cd 0.0000 0.0000 0.0000 1
Mo1 Mo 0.0000 0.5000 0.0000 1
Mo2 Mo 0.2500 0.2500 0.5000 1
# E ... -7.89 eV per atom
# Energy above the lowest structure with this stoichiometry ... 241 meV per atom
# Energy of formation ... 0.46 eV per atom
# Density of states at the Fermi level ... 2.92 states/eV/f.u.


No. 3
# PmNdN (GGA-PBE, optimized geometry)
data_PmNdN
_chemical_formula_sum 'Pm4 Nd4 N4'
_cell_length_a 12.7817
_cell_length_b 3.6404
_cell_length_c 6.2986
_cell_angle_alpha 90.00
_cell_angle_beta 99.72
_cell_angle_gamma 90.00
_symmetry_space_group_name_H-M 'C 1 2/m 1'
_symmetry_Int_Tables_number 12
_symmetry_space_group_name_Hall '-C 2y'
loop_
_atom_site_label
_atom_site_type_symbol
_atom_site_fract_x
_atom_site_fract_y
_atom_site_fract_z
_atom_site_occupancy
Pm1 Pm 0.1078 0.0000 0.3700 1
Nd1 Nd 0.1103 0.5000 0.8715 1
N1 N 0.0000 0.0000 0.0000 1
N2 N 0.0000 0.5000 0.5000 1
# E ... -6.84 eV per atom
# Energy above the lowest structure with this stoichiometry ... 25 meV per atom
# ΔE_f (raw) ... -0.894 eV/atom
# Density of states at the Fermi level ... 1.87 states/eV/f.u.


No. 4
# Tb2TiNi4Ge3 (GGA-PBE, optimized geometry)
data_Tb2TiNi4Ge3
_chemical_formula_sum 'Tb2 Ti1 Ni4 Ge3'
_cell_length_a 4.0408
_cell_length_b 4.0408
_cell_length_c 10.0180
_cell_angle_alpha 90.00
_cell_angle_beta 90.00
_cell_angle_gamma 90.00
_symmetry_space_group_name_H-M 'P -4 m 2'
_symmetry_Int_Tables_number 115
_symmetry_space_group_name_Hall 'P -4 -2'
loop_
_atom_site_label
_atom_site_type_symbol
_atom_site_fract_x
_atom_site_fract_y
_atom_site_fract_z
_atom_site_occupancy
Tb1 Tb 0.0000 0.5000 0.2388 1
Ti1 Ti 0.0000 0.0000 0.5000 1
Ni1 Ni 0.0000 0.0000 0.0000 1
Ni2 Ni 0.0000 0.5000 0.6377 1
Ni3 Ni 0.5000 0.5000 0.0000 1
Ge1 Ge 0.0000 0.5000 0.8711 1
Ge2 Ge 0.5000 0.5000 0.5000 1
# E ... -6.08 eV per atom
# Energy of formation ... -0.67 eV per atom
# Density of states at the Fermi level ... 9.78 states/eV/f.u.